(1)
This record from Alexandria describes a relaxed structure of BeTeOs2. The functional is PBE.

```
4
Lattice="-3.670 1.851 -1.281 -1.367 -0.952 2.540 1.254 3.991 2.172" Properties=species:S:1:pos:R:3 pbc="T T T"
Be -2.023 3.300 3.329
Os -2.107 1.332 0.727
Te 0.141 1.722 2.085
Os 0.038 3.093 4.359
```

Values from the calculation:
M_tot: 0.00 Bohr magnetons per cell
DOS at the Fermi energy: 1.40 states/eV/cell
formation energy (no corrections): 0.4697 eV/atom
energy: -6.8621 eV/atom
excess energy over the best structure of this formula in the dataset: 0.04 eV/f.u.



(2)
This record from Alexandria describes a relaxed structure of Mn6PdRh5. The functional is PBE.

```
12
Lattice="-1.962 3.019 2.405 -3.253 -4.315 2.764 3.644 0.917 5.722" Properties=species:S:1:pos:R:3 pbc="T T T"
Mn 1.268 0.029 4.897
Rh 0.555 1.313 2.703
Mn -3.408 -1.710 3.264
Mn -1.807 0.413 1.904
Pd 0.000 0.000 0.000
Rh 1.127 2.623 5.423
Rh -1.627 -2.158 1.382
Mn -2.839 -0.409 5.993
Mn -1.225 1.733 4.622
Mn -0.346 -2.112 6.268
Rh -0.498 0.465 6.806
Rh -1.073 -0.845 4.083
```

Values from the calculation:
M_tot: 25.48 Bohr magnetons per cell
DOS at the Fermi energy: 9.62 states/eV/cell
energy: -8.2562 eV/atom



(3)
This record from Alexandria describes a relaxed structure of Sc4Al3Mo. The functional is PBE.

```
8
Lattice="4.605 0.000 -1.243 -0.330 4.599 -1.221 -0.449 -0.515 7.488" Properties=species:S:1:pos:R:3 pbc="T T T"
Al -0.165 2.299 -0.611
Sc 3.420 3.655 3.518
Sc 1.282 1.356 4.750
Mo 2.302 0.000 -0.622
Al 3.127 0.871 2.433
Al 0.699 3.213 2.590
Sc 2.544 2.728 0.273
Sc 0.406 0.429 1.505
```

Values from the calculation:
M_tot: 0.00 Bohr magnetons per cell
DOS at the Fermi energy: 4.08 states/eV/cell
energy: -6.2886 eV/atom



(4)
This record from Alexandria describes a relaxed structure of AlV2Sn. The functional is PBE.

```
4
Lattice="4.101 0.000 0.000 0.000 3.939 0.000 0.000 0.000 3.939" Properties=species:S:1:pos:R:3 pbc="T T T"
Al 2.051 0.000 0.000
V 0.000 0.000 1.969
Sn 2.051 1.969 1.969
V 0.000 1.969 0.000
```

Values from the calculation:
M_tot: 0.00 Bohr magnetons per cell
DOS at the Fermi energy: 4.57 states/eV/cell
energy: -6.4599 eV/atom